First-principles (PBE) data for PuCd4Hg4 after structural relaxation, as listed in Alexandria via LeMat-Bulk.

Properties
E   -2.110 eV per atom
Energy of formation from the pure elements   0.024 eV per atom
Energy relative to the lowest polymorph listed for this composition   69 meV/atom

```
18
Lattice="6.713 0.000 0.000 0.000 6.713 0.000 0.000 0.000 10.182" Properties=species:S:1:pos:R:3 pbc="T T T"
Pu 1.678 5.035 2.545
Pu 5.035 1.678 7.636
Cd 0.248 1.678 1.907
Cd 1.678 0.248 6.998
Cd 1.678 3.109 6.998
Cd 3.109 1.678 1.907
Cd 3.604 5.035 8.275
Cd 5.035 3.604 3.184
Cd 5.035 6.465 3.184
Cd 6.465 5.035 8.275
Hg 0.005 1.678 4.877
Hg 1.678 0.005 9.968
Hg 1.678 3.351 9.968
Hg 3.351 1.678 4.877
Hg 3.362 5.035 5.304
Hg 5.035 3.362 0.214
Hg 5.035 6.708 0.214
Hg 6.708 5.035 5.304
```